Computed, not measured: a relaxed K2TlRh crystal at the PBE-GGA level of DFT.

Results
**ΔE to the lowest computed polymorph**: 0.480 eV per atom
**Formation energy**: 0.57 eV/atom
**SG**: P4/mmm (123)
**N(E_F)**: 2.6 states/eV/cell
**Total magnetization**: 0.62 Bohr magnetons per cell

Cell: 6.2365 6.2365 3.1642 Å, 90.00 90.00 90.00°
Fractional positions:
K1 0.0000 0.5000 0.0000
K2 0.5000 0.0000 0.0000
Tl1 0.0000 0.0000 0.5000
Rh1 0.5000 0.5000 0.5000



Computed, not measured: a relaxed KTlRh2 crystal at the PBE-GGA level of DFT.

Results
**ΔE to the lowest computed polymorph**: 0.349 eV per atom
**Formation energy**: 0.60 eV/atom
**SG**: P4/mmm (123)
**N(E_F)**: 4.0 states/eV/cell
**Total magnetization**: 0.00 Bohr magnetons per cell

Cell: 4.8140 4.8140 3.3840 Å, 90.00 90.00 90.00°
Fractional positions:
K1 0.0000 0.0000 0.0000
Tl1 0.5000 0.5000 0.0000
Rh1 0.0000 0.5000 0.5000
Rh2 0.5000 0.0000 0.5000



Computed, not measured: a relaxed K2TlRh crystal at the PBE-GGA level of DFT.

Results
**ΔE to the lowest computed polymorph**: 0.210 eV per atom
**Formation energy**: 0.30 eV/atom
**SG**: P2/m (10)
**N(E_F)**: 3.2 states/eV/cell
**Total magnetization**: 0.00 Bohr magnetons per cell

Cell: 5.2737 4.6365 7.6686 Å, 90.00 110.00 90.00°
Fractional positions:
K1 0.1397 0.0000 0.2781
K2 0.8603 0.0000 0.7219
Tl1 0.5000 0.5000 0.0000
Rh1 0.0000 0.5000 0.0000



Computed, not measured: a relaxed KTlRh2 crystal at the PBE-GGA level of DFT.

Results
**ΔE to the lowest computed polymorph**: 0.414 eV per atom
**Formation energy**: 0.66 eV/atom
**SG**: Pmmm (47)
**N(E_F)**: 5.1 states/eV/cell
**Total magnetization**: 0.00 Bohr magnetons per cell

Cell: 3.1411 4.7961 5.2785 Å, 90.00 90.00 90.00°
Fractional positions:
K1 0.0000 0.0000 0.0000
Tl1 0.5000 0.0000 0.5000
Rh1 0.0000 0.5000 0.5000
Rh2 0.5000 0.5000 0.0000



Computed, not measured: a relaxed KTlRh2 crystal at the PBE-GGA level of DFT.

Results
**ΔE to the lowest computed polymorph**: 0.287 eV per atom
**Formation energy**: 0.53 eV/atom
**SG**: I-42d (122)
**N(E_F)**: 6.3 states/eV/cell
**Total magnetization**: 1.20 Bohr magnetons per cell

Cell: 10.1679 10.1679 10.1679 Å, 152.81 152.81 38.83°
Fractional positions:
K1 0.0000 0.0000 0.0000
K2 0.7500 0.2500 0.5000
Tl1 0.2500 0.7500 0.5000
Tl2 0.5000 0.5000 0.0000
Rh1 0.2895 0.6250 0.1645
Rh2 0.3750 0.5395 0.6645
Rh3 0.4605 0.1250 0.8355
Rh4 0.8750 0.7105 0.3355



Computed, not measured: a relaxed KTlRh2 crystal at the PBE-GGA level of DFT.

Results
**ΔE to the lowest computed polymorph**: 0.172 eV per atom
**Formation energy**: 0.42 eV/atom
**SG**: Cm (8)
**N(E_F)**: 4.5 states/eV/cell
**Total magnetization**: 0.00 Bohr magnetons per cell

Cell: 5.4457 5.4457 6.0370 Å, 105.03 105.03 32.04°
Fractional positions:
K1 0.0000 0.0000 0.0000
Tl1 0.7982 0.7982 0.4202
Rh1 0.2136 0.2136 0.7502
Rh2 0.5333 0.5333 0.4886



Computed, not measured: a relaxed K2TlRh crystal at the PBE-GGA level of DFT.

Results
**ΔE to the lowest computed polymorph**: 0.462 eV per atom
**Formation energy**: 0.55 eV/atom
**SG**: R-3m (166)
**N(E_F)**: 4.2 states/eV/cell
**Total magnetization**: 0.39 Bohr magnetons per cell

Cell: 11.6340 11.6340 11.6340 Å, 16.91 16.91 16.91°
Fractional positions:
K1 0.2377 0.2377 0.2377
K2 0.7623 0.7623 0.7623
Tl1 0.0000 0.0000 0.0000
Rh1 0.5000 0.5000 0.5000



Computed, not measured: a relaxed KTlRh2 crystal at the PBE-GGA level of DFT.

Results
**ΔE to the lowest computed polymorph**: 0.188 eV per atom
**Formation energy**: 0.44 eV/atom
**SG**: Pmmm (47)
**N(E_F)**: 3.3 states/eV/cell
**Total magnetization**: 0.28 Bohr magnetons per cell

Cell: 3.0458 4.0509 7.2190 Å, 90.00 90.00 90.00°
Fractional positions:
K1 0.0000 0.0000 0.0000
Tl1 0.0000 0.0000 0.5000
Rh1 0.5000 0.5000 0.3187
Rh2 0.5000 0.5000 0.6813



Computed, not measured: a relaxed KTl4Rh crystal at the PBE-GGA level of DFT.

Results
**ΔE to the lowest computed polymorph**: 0.442 eV per atom
**Formation energy**: 0.41 eV/atom
**SG**: F-43m (216)
**N(E_F)**: 5.0 states/eV/cell
**Total magnetization**: 0.00 Bohr magnetons per cell

Cell: 6.2700 6.2700 6.2700 Å, 60.00 60.00 60.00°
Fractional positions:
K1 0.0000 0.0000 0.0000
Tl1 0.3760 0.3760 0.3760
Tl2 0.3760 0.3760 0.8719
Tl3 0.3760 0.8719 0.3760
Tl4 0.8719 0.3760 0.3760
Rh1 0.7500 0.7500 0.7500



Computed, not measured: a relaxed KTlRh2 crystal at the PBE-GGA level of DFT.

Results
**ΔE to the lowest computed polymorph**: 0.283 eV per atom
**Formation energy**: 0.53 eV/atom
**SG**: R3m (160)
**N(E_F)**: 4.6 states/eV/cell
**Total magnetization**: 0.70 Bohr magnetons per cell

Cell: 10.2284 10.2284 10.2284 Å, 17.56 17.56 17.56°
Fractional positions:
K1 0.0000 0.0000 0.0000
Tl1 0.2289 0.2289 0.2289
Rh1 0.4864 0.4864 0.4864
Rh2 0.7566 0.7566 0.7566



Computed, not measured: a relaxed KTlRh4 crystal at the PBE-GGA level of DFT.

Results
**Formation energy**: 0.38 eV/atom
**SG**: F-43m (216)
**N(E_F)**: 9.7 states/eV/cell
**Total magnetization**: 1.10 Bohr magnetons per cell

Cell: 5.3705 5.3705 5.3705 Å, 60.00 60.00 60.00°
Fractional positions:
K1 0.0000 0.0000 0.0000
Tl1 0.2500 0.2500 0.2500
Rh1 0.1270 0.6243 0.6243
Rh2 0.6243 0.1270 0.6243
Rh3 0.6243 0.6243 0.1270
Rh4 0.6243 0.6243 0.6243



Computed, not measured: a relaxed KTlRh2 crystal at the PBE-GGA level of DFT.

Results
**ΔE to the lowest computed polymorph**: 0.330 eV per atom
**Formation energy**: 0.58 eV/atom
**SG**: Fm-3m (225)
**N(E_F)**: 3.6 states/eV/cell
**Total magnetization**: 0.00 Bohr magnetons per cell

Cell: 4.8060 4.8060 4.8060 Å, 60.00 60.00 60.00°
Fractional positions:
K1 0.0000 0.0000 0.0000
Tl1 0.5000 0.5000 0.5000
Rh1 0.2500 0.2500 0.2500
Rh2 0.7500 0.7500 0.7500



Computed, not measured: a relaxed KTlRh2 crystal at the PBE-GGA level of DFT.

Results
**ΔE to the lowest computed polymorph**: 0.200 eV per atom
**Formation energy**: 0.45 eV/atom
**SG**: Imm2 (44)
**N(E_F)**: 5.8 states/eV/cell
**Total magnetization**: 0.02 Bohr magnetons per cell

Cell: 6.2747 6.2747 6.2747 Å, 152.84 130.97 56.95°
Fractional positions:
K1 0.0000 0.0000 0.0000
Tl1 0.7060 0.2060 0.5000
Rh1 0.2854 0.7854 0.5000
Rh2 0.4786 0.4786 0.0000



Computed, not measured: a relaxed KTlRh crystal at the PBE-GGA level of DFT.

Results
**Formation energy**: 0.07 eV/atom
**SG**: P4/nmm (129)
**N(E_F)**: 3.3 states/eV/cell
**Total magnetization**: 0.00 Bohr magnetons per cell

Cell: 4.8336 4.8336 7.5343 Å, 90.00 90.00 90.00°
Fractional positions:
K1 0.2500 0.2500 0.1735
K2 0.7500 0.7500 0.8265
Tl1 0.2500 0.2500 0.6648
Tl2 0.7500 0.7500 0.3352
Rh1 0.2500 0.7500 0.5000
Rh2 0.7500 0.2500 0.5000



Computed, not measured: a relaxed KTlRh2 crystal at the PBE-GGA level of DFT.

Results
**ΔE to the lowest computed polymorph**: 0.345 eV per atom
**Formation energy**: 0.59 eV/atom
**SG**: Immm (71)
**N(E_F)**: 4.3 states/eV/cell
**Total magnetization**: 0.00 Bohr magnetons per cell

Cell: 5.8124 5.8124 5.8124 Å, 148.28 125.17 64.75°
Fractional positions:
K1 0.0000 0.0000 0.0000
Tl1 0.5000 0.5000 0.0000
Rh1 0.2745 0.7745 0.5000
Rh2 0.7255 0.2255 0.5000